No. 1
# KSi3Pb | Alexandria via LeMat-Bulk | PBE-GGA | optimized geometry
data_KSi3Pb
_cell_length_a 5.374
_cell_length_b 5.374
_cell_length_c 5.374
_cell_angle_alpha 90.00
_cell_angle_beta 90.00
_cell_angle_gamma 90.00
_space_group_name_H-M_alt 'P m -3 m'
_space_group_IT_number 221
_space_group_name_Hall '-P 4 2 3'
loop_
_atom_site_label
_atom_site_type_symbol
_atom_site_fract_x
_atom_site_fract_y
_atom_site_fract_z
K1 K 0.000 0.000 0.000
Si1 Si 0.000 0.000 0.500
Pb1 Pb 0.500 0.500 0.500
# **Total moment**: 0.000 μB per formula unit
# **Energy above the most stable polymorph in this dataset**: 691 meV per atom
# **ΔE_f (raw)**: 1.79 eV/atom
# **N(E_F)**: 4.54 states/eV/cell

No. 2
# KSiPb | Alexandria via LeMat-Bulk | PBE-GGA | optimized geometry
data_KSiPb
_cell_length_a 4.4730
_cell_length_b 4.4730
_cell_length_c 5.8112
_cell_angle_alpha 90.00
_cell_angle_beta 90.00
_cell_angle_gamma 120.00
_space_group_name_H-M_alt 'P 3 m 1'
_space_group_IT_number 156
loop_
_space_group_symop_operation_xyz
'x,y,z'
'-y,x-y,z'
'-x+y,-x,z'
'-y,-x,z'
'-x+y,y,z'
'x,x-y,z'
loop_
_atom_site_label
_atom_site_type_symbol
_atom_site_fract_x
_atom_site_fract_y
_atom_site_fract_z
K1 K 0.0000 0.0000 0.0000
Si1 Si 0.6667 0.3333 0.6119
Pb1 Pb 0.3333 0.6667 0.4502
# **Total moment**: 0.000 μB per formula unit
# **Energy above the most stable polymorph in this dataset**: 130 meV per atom
# **ΔE_f (raw)**: 0.13 eV/atom
# **N(E_F)**: 1.17 states/eV/cell

No. 3
# K2SiPb | Alexandria via LeMat-Bulk | PBE-GGA | optimized geometry
data_K2SiPb
_cell_length_a 12.557
_cell_length_b 4.296
_cell_length_c 5.884
_cell_angle_alpha 90.00
_cell_angle_beta 117.86
_cell_angle_gamma 90.00
_space_group_name_H-M_alt 'C 1 m 1'
_space_group_IT_number 8
loop_
_space_group_symop_operation_xyz
'x,y,z'
'x,-y,z'
'x+1/2,y+1/2,z'
'x+1/2,-y+1/2,z'
loop_
_atom_site_label
_atom_site_type_symbol
_atom_site_fract_x
_atom_site_fract_y
_atom_site_fract_z
K1 K 0.000 0.000 0.000
K2 K 0.185 0.000 0.686
Si1 Si 0.433 0.000 0.434
Pb1 Pb 0.284 0.500 0.284
# **Total moment**: 0.000 μB per formula unit
# **Energy above the most stable polymorph in this dataset**: 0 meV per atom
# **ΔE_f (raw)**: 0.02 eV/atom
# **N(E_F)**: 3.72 states/eV/cell

No. 4
# KSiPb3 | Alexandria via LeMat-Bulk | PBE-GGA | optimized geometry
data_KSiPb3
_cell_length_a 5.874
_cell_length_b 5.874
_cell_length_c 5.874
_cell_angle_alpha 90.00
_cell_angle_beta 90.00
_cell_angle_gamma 90.00
_space_group_name_H-M_alt 'P m -3 m'
_space_group_IT_number 221
_space_group_name_Hall '-P 4 2 3'
loop_
_atom_site_label
_atom_site_type_symbol
_atom_site_fract_x
_atom_site_fract_y
_atom_site_fract_z
K1 K 0.000 0.000 0.000
Si1 Si 0.500 0.500 0.500
Pb1 Pb 0.000 0.000 0.500
# **Total moment**: 0.000 μB per formula unit
# **Energy above the most stable polymorph in this dataset**: 1067 meV per atom
# **ΔE_f (raw)**: 1.34 eV/atom
# **N(E_F)**: 4.87 states/eV/cell

No. 5
# K2SiPb | Alexandria via LeMat-Bulk | PBE-GGA | optimized geometry
data_K2SiPb
_cell_length_a 8.135
_cell_length_b 8.135
_cell_length_c 8.135
_cell_angle_alpha 90.00
_cell_angle_beta 90.00
_cell_angle_gamma 90.00
_space_group_name_H-M_alt 'F m -3 m'
_space_group_IT_number 225
_space_group_name_Hall '-F 4 2 3'
loop_
_atom_site_label
_atom_site_type_symbol
_atom_site_fract_x
_atom_site_fract_y
_atom_site_fract_z
K1 K 0.250 0.250 0.250
Si1 Si 0.000 0.000 0.000
Pb1 Pb 0.000 0.000 0.500
# **Total moment**: 0.000 μB per formula unit
# **Energy above the most stable polymorph in this dataset**: 358 meV per atom
# **ΔE_f (raw)**: 0.38 eV/atom
# **N(E_F)**: 0.01 states/eV/cell

No. 6
# KSi3Pb | Alexandria via LeMat-Bulk | PBE-GGA | optimized geometry
data_KSi3Pb
_cell_length_a 5.495
_cell_length_b 5.495
_cell_length_c 5.495
_cell_angle_alpha 90.00
_cell_angle_beta 90.00
_cell_angle_gamma 90.00
_space_group_name_H-M_alt 'P m -3 m'
_space_group_IT_number 221
_space_group_name_Hall '-P 4 2 3'
loop_
_atom_site_label
_atom_site_type_symbol
_atom_site_fract_x
_atom_site_fract_y
_atom_site_fract_z
K1 K 0.000 0.000 0.000
Si1 Si 0.000 0.500 0.500
Pb1 Pb 0.500 0.500 0.500
# **Total moment**: 0.000 μB per formula unit
# **Energy above the most stable polymorph in this dataset**: 0 meV per atom
# **ΔE_f (raw)**: 1.10 eV/atom
# **N(E_F)**: 4.33 states/eV/cell

No. 7
# KSiPb | Alexandria via LeMat-Bulk | PBE-GGA | optimized geometry
data_KSiPb
_cell_length_a 5.3883
_cell_length_b 5.3883
_cell_length_c 3.2901
_cell_angle_alpha 90.00
_cell_angle_beta 90.00
_cell_angle_gamma 120.00
_space_group_name_H-M_alt 'P -6 m 2'
_space_group_IT_number 187
_space_group_name_Hall 'P -6 2'
loop_
_atom_site_label
_atom_site_type_symbol
_atom_site_fract_x
_atom_site_fract_y
_atom_site_fract_z
K1 K 0.0000 0.0000 0.0000
Si1 Si 0.3333 0.6667 0.5000
Pb1 Pb 0.6667 0.3333 0.5000
# **Total moment**: 0.000 μB per formula unit
# **Energy above the most stable polymorph in this dataset**: 282 meV per atom
# **ΔE_f (raw)**: 0.28 eV/atom
# **N(E_F)**: 0.79 states/eV/cell

No. 8
# K2SiPb | Alexandria via LeMat-Bulk | PBE-GGA | optimized geometry
data_K2SiPb
_cell_length_a 7.962
_cell_length_b 7.962
_cell_length_c 7.962
_cell_angle_alpha 90.00
_cell_angle_beta 90.00
_cell_angle_gamma 90.00
_space_group_name_H-M_alt 'F -4 3 m'
_space_group_IT_number 216
_space_group_name_Hall 'F -4 2 3'
loop_
_atom_site_label
_atom_site_type_symbol
_atom_site_fract_x
_atom_site_fract_y
_atom_site_fract_z
K1 K 0.000 0.000 0.000
K2 K 0.250 0.250 0.250
Si1 Si 0.000 0.000 0.500
Pb1 Pb 0.250 0.250 0.750
# **Total moment**: 0.000 μB per formula unit
# **Energy above the most stable polymorph in this dataset**: 191 meV per atom
# **ΔE_f (raw)**: 0.22 eV/atom
# **N(E_F)**: 5.31 states/eV/cell

No. 9
# K2SiPb | Alexandria via LeMat-Bulk | PBE-GGA | optimized geometry
data_K2SiPb
_cell_length_a 3.736
_cell_length_b 3.952
_cell_length_c 10.332
_cell_angle_alpha 90.00
_cell_angle_beta 90.00
_cell_angle_gamma 90.00
_space_group_name_H-M_alt 'P m m 2'
_space_group_IT_number 25
loop_
_space_group_symop_operation_xyz
'x,y,z'
'-x,-y,z'
'-x,y,z'
'x,-y,z'
loop_
_atom_site_label
_atom_site_type_symbol
_atom_site_fract_x
_atom_site_fract_y
_atom_site_fract_z
K1 K 0.000 0.000 0.000
K2 K 0.500 0.500 0.412
Si1 Si 0.000 0.000 0.634
Pb1 Pb 0.500 0.500 0.756
# **Total moment**: 0.000 μB per formula unit
# **Energy above the most stable polymorph in this dataset**: 143 meV per atom
# **ΔE_f (raw)**: 0.17 eV/atom
# **N(E_F)**: 2.66 states/eV/cell

No. 10
# KSiPb | Alexandria via LeMat-Bulk | PBE-GGA | optimized geometry
data_KSiPb
_cell_length_a 5.542
_cell_length_b 17.229
_cell_length_c 3.838
_cell_angle_alpha 90.00
_cell_angle_beta 90.00
_cell_angle_gamma 90.00
_space_group_name_H-M_alt 'C m c m'
_space_group_IT_number 63
_space_group_name_Hall '-C 2c 2'
loop_
_atom_site_label
_atom_site_type_symbol
_atom_site_fract_x
_atom_site_fract_y
_atom_site_fract_z
K1 K 0.000 0.096 0.250
Si1 Si 0.000 0.462 0.250
Pb1 Pb 0.000 0.296 0.250
# **Total moment**: 0.000 μB per formula unit
# **Energy above the most stable polymorph in this dataset**: 0 meV per atom
# **ΔE_f (raw)**: 0.00 eV/atom
# **N(E_F)**: 4.87 states/eV/cell

No. 11
# K2SiPb | Alexandria via LeMat-Bulk | PBE-GGA | optimized geometry
data_K2SiPb
_cell_length_a 4.673
_cell_length_b 4.673
_cell_length_c 5.612
_cell_angle_alpha 90.00
_cell_angle_beta 90.00
_cell_angle_gamma 90.00
_space_group_name_H-M_alt 'P 4/m m m'
_space_group_IT_number 123
_space_group_name_Hall '-P 4 2'
loop_
_atom_site_label
_atom_site_type_symbol
_atom_site_fract_x
_atom_site_fract_y
_atom_site_fract_z
K1 K 0.000 0.500 0.000
Si1 Si 0.000 0.000 0.500
Pb1 Pb 0.500 0.500 0.500
# **Total moment**: 0.001 μB per formula unit
# **Energy above the most stable polymorph in this dataset**: 272 meV per atom
# **ΔE_f (raw)**: 0.30 eV/atom
# **N(E_F)**: 4.51 states/eV/cell

No. 12
# K2SiPb | Alexandria via LeMat-Bulk | PBE-GGA | optimized geometry
data_K2SiPb
_cell_length_a 4.642
_cell_length_b 4.642
_cell_length_c 11.270
_cell_angle_alpha 90.00
_cell_angle_beta 90.00
_cell_angle_gamma 90.00
_space_group_name_H-M_alt 'I 4/m m m'
_space_group_IT_number 139
_space_group_name_Hall '-I 4 2'
loop_
_atom_site_label
_atom_site_type_symbol
_atom_site_fract_x
_atom_site_fract_y
_atom_site_fract_z
K1 K 0.000 0.500 0.250
Si1 Si 0.000 0.000 0.000
Pb1 Pb 0.000 0.000 0.500
# **Total moment**: 0.000 μB per formula unit
# **Energy above the most stable polymorph in this dataset**: 266 meV per atom
# **ΔE_f (raw)**: 0.29 eV/atom
# **N(E_F)**: 6.31 states/eV/cell

No. 13
# KSiPb4 | Alexandria via LeMat-Bulk | PBE-GGA | optimized geometry
data_KSiPb4
_cell_length_a 9.232
_cell_length_b 9.232
_cell_length_c 9.232
_cell_angle_alpha 90.00
_cell_angle_beta 90.00
_cell_angle_gamma 90.00
_space_group_name_H-M_alt 'F -4 3 m'
_space_group_IT_number 216
_space_group_name_Hall 'F -4 2 3'
loop_
_atom_site_label
_atom_site_type_symbol
_atom_site_fract_x
_atom_site_fract_y
_atom_site_fract_z
K1 K 0.000 0.000 0.000
Si1 Si 0.250 0.250 0.250
Pb1 Pb 0.125 0.125 0.625
# **Total moment**: 0.000 μB per formula unit
# **ΔE_f (raw)**: 0.32 eV/atom
# **N(E_F)**: 16.57 states/eV/cell

No. 14
# KSrSiPb2 | Alexandria via LeMat-Bulk | PBE-GGA | optimized geometry
data_KSrSiPb2
_cell_length_a 5.624
_cell_length_b 5.624
_cell_length_c 5.857
_cell_angle_alpha 90.00
_cell_angle_beta 90.00
_cell_angle_gamma 90.00
_space_group_name_H-M_alt 'P 4/m m m'
_space_group_IT_number 123
_space_group_name_Hall '-P 4 2'
loop_
_atom_site_label
_atom_site_type_symbol
_atom_site_fract_x
_atom_site_fract_y
_atom_site_fract_z
K1 K 0.000 0.000 0.000
Sr1 Sr 0.500 0.500 0.000
Si1 Si 0.500 0.500 0.500
Pb1 Pb 0.000 0.500 0.500
# **Total moment**: 0.000 μB per formula unit
# **ΔE_f (raw)**: 0.10 eV/atom
# **N(E_F)**: 4.15 states/eV/cell

No. 15
# KSiTc2Pb | Alexandria via LeMat-Bulk | PBE-GGA | optimized geometry
data_KSiTc2Pb
_cell_length_a 4.663
_cell_length_b 4.663
_cell_length_c 5.440
_cell_angle_alpha 90.00
_cell_angle_beta 90.00
_cell_angle_gamma 90.00
_space_group_name_H-M_alt 'P 4/m m m'
_space_group_IT_number 123
_space_group_name_Hall '-P 4 2'
loop_
_atom_site_label
_atom_site_type_symbol
_atom_site_fract_x
_atom_site_fract_y
_atom_site_fract_z
K1 K 0.000 0.000 0.000
Si1 Si 0.000 0.000 0.500
Tc1 Tc 0.000 0.500 0.500
Pb1 Pb 0.500 0.500 0.000
# **Total moment**: 3.132 μB per formula unit
# **ΔE_f (raw)**: 1.00 eV/atom
# **N(E_F)**: 3.55 states/eV/cell

No. 16
# KSmPb4 | Alexandria via LeMat-Bulk | PBE-GGA | optimized geometry
data_KSmPb4
_cell_length_a 9.267
_cell_length_b 9.267
_cell_length_c 9.267
_cell_angle_alpha 90.00
_cell_angle_beta 90.00
_cell_angle_gamma 90.00
_space_group_name_H-M_alt 'F -4 3 m'
_space_group_IT_number 216
_space_group_name_Hall 'F -4 2 3'
loop_
_atom_site_label
_atom_site_type_symbol
_atom_site_fract_x
_atom_site_fract_y
_atom_site_fract_z
K1 K 0.000 0.000 0.000
Sm1 Sm 0.250 0.250 0.750
Pb1 Pb 0.124 0.124 0.376
# **Total moment**: 0.000 μB per formula unit
# **Formation enthalpy at 0 K**: -0.1589 eV/atom

No. 17
# KSmTlPb | Alexandria via LeMat-Bulk | PBE-GGA | optimized geometry
data_KSmTlPb
_cell_length_a 8.014
_cell_length_b 8.014
_cell_length_c 8.014
_cell_angle_alpha 90.00
_cell_angle_beta 90.00
_cell_angle_gamma 90.00
_space_group_name_H-M_alt 'F -4 3 m'
_space_group_IT_number 216
_space_group_name_Hall 'F -4 2 3'
loop_
_atom_site_label
_atom_site_type_symbol
_atom_site_fract_x
_atom_site_fract_y
_atom_site_fract_z
K1 K 0.000 0.000 0.000
Sm1 Sm 0.000 0.000 0.500
Tl1 Tl 0.250 0.250 0.750
Pb1 Pb 0.250 0.250 0.250
# **Total moment**: 0.000 μB per formula unit
# **N(E_F)**: 13.48 states/eV/cell
# **Formation enthalpy at 0 K**: -0.1378 eV/atom

No. 18
# KSnPb3 | Alexandria via LeMat-Bulk | PBE-GGA | optimized geometry
data_KSnPb3
_cell_length_a 5.905
_cell_length_b 5.905
_cell_length_c 5.905
_cell_angle_alpha 90.00
_cell_angle_beta 90.00
_cell_angle_gamma 90.00
_space_group_name_H-M_alt 'P m -3 m'
_space_group_IT_number 221
_space_group_name_Hall '-P 4 2 3'
loop_
_atom_site_label
_atom_site_type_symbol
_atom_site_fract_x
_atom_site_fract_y
_atom_site_fract_z
K1 K 0.000 0.000 0.000
Sn1 Sn 0.500 0.500 0.500
Pb1 Pb 0.000 0.000 0.500
# **Total moment**: 0.000 μB per formula unit
# **Energy above the most stable polymorph in this dataset**: 1008 meV per atom
# **N(E_F)**: 4.71 states/eV/cell
# **Formation enthalpy at 0 K**: 0.9281 eV/atom

No. 19
# KSnPb2 | Alexandria via LeMat-Bulk | PBE-GGA | optimized geometry
data_KSnPb2
_cell_length_a 4.164
_cell_length_b 4.164
_cell_length_c 7.842
_cell_angle_alpha 90.00
_cell_angle_beta 90.00
_cell_angle_gamma 90.00
_space_group_name_H-M_alt 'P 4/m m m'
_space_group_IT_number 123
_space_group_name_Hall '-P 4 2'
loop_
_atom_site_label
_atom_site_type_symbol
_atom_site_fract_x
_atom_site_fract_y
_atom_site_fract_z
K1 K 0.000 0.000 0.000
Sn1 Sn 0.000 0.000 0.500
Pb1 Pb 0.500 0.500 0.305
# **Total moment**: 0.000 μB per formula unit
# **N(E_F)**: 1.60 states/eV/cell
# **Formation enthalpy at 0 K**: -0.1019 eV/atom

No. 20
# K2SnPb6 | Alexandria via LeMat-Bulk | PBE-GGA | optimized geometry
data_K2SnPb6
_cell_length_a 7.2025
_cell_length_b 7.2025
_cell_length_c 6.9956
_cell_angle_alpha 90.00
_cell_angle_beta 90.00
_cell_angle_gamma 120.00
_space_group_name_H-M_alt 'P -3 m 1'
_space_group_IT_number 164
_space_group_name_Hall '-P 3 2"'
loop_
_atom_site_label
_atom_site_type_symbol
_atom_site_fract_x
_atom_site_fract_y
_atom_site_fract_z
K1 K 0.3333 0.6667 0.1458
Sn1 Sn 0.0000 0.0000 0.0000
Pb1 Pb 0.1761 0.3521 0.6680
# **Total moment**: 0.000 μB per formula unit
# **N(E_F)**: 3.94 states/eV/cell
# **Formation enthalpy at 0 K**: -0.1023 eV/atom